Entry 1:
ScBOs2: optimized geometry, PBE-GGA.

CIF file:
```
data_ScBOs2
_chemical_formula_sum 'Sc4 B4 Os8'
_space_group_name_H-M_alt 'I -4 2 d'
_space_group_IT_number 122
_space_group_name_Hall 'I -4 2bw'
_cell_length_a 4.517
_cell_length_b 4.517
_cell_length_c 14.295
_cell_angle_alpha 90.00
_cell_angle_beta 90.00
_cell_angle_gamma 90.00
loop_
_atom_site_label
_atom_site_fract_x
_atom_site_fract_y
_atom_site_fract_z
Sc1 0.000 0.000 0.000
B1 0.000 0.000 0.500
Os1 0.088 0.250 0.625
```

Values from the calculation:
DFT formation energy = 10.4 kcal/mol of atoms

***

Entry 2:
ScB2Os: optimized geometry, PBE-GGA.

CIF file:
```
data_ScB2Os
_chemical_formula_sum 'Sc4 B8 Os4'
_space_group_name_H-M_alt 'F m -3 m'
_space_group_IT_number 225
_space_group_name_Hall '-F 4 2 3'
_cell_length_a 5.614
_cell_length_b 5.614
_cell_length_c 5.614
_cell_angle_alpha 90.00
_cell_angle_beta 90.00
_cell_angle_gamma 90.00
loop_
_atom_site_label
_atom_site_fract_x
_atom_site_fract_y
_atom_site_fract_z
Sc1 0.000 0.000 0.000
B1 0.250 0.250 0.250
Os1 0.000 0.000 0.500
```

Values from the calculation:
DFT formation energy = 0.0 kcal/mol of atoms
Relative energy among the computed polymorphs = 0.6818 eV per atom

***

Entry 3:
ScB2Os: optimized geometry, PBE-GGA.

CIF file:
```
data_ScB2Os
_chemical_formula_sum 'Sc4 B8 Os4'
_space_group_name_H-M_alt 'P n m a'
_space_group_IT_number 62
_cell_length_a 5.665
_cell_length_b 5.203
_cell_length_c 6.185
_cell_angle_alpha 90.00
_cell_angle_beta 90.00
_cell_angle_gamma 90.00
loop_
_space_group_symop_operation_xyz
'x,y,z'
'-x,-y,-z'
'-x+1/2,-y,z+1/2'
'x+1/2,y,-z+1/2'
'x+1/2,-y+1/2,-z+1/2'
'-x+1/2,y+1/2,z+1/2'
'-x,y+1/2,-z'
'x,-y+1/2,z'
loop_
_atom_site_label
_atom_site_fract_x
_atom_site_fract_y
_atom_site_fract_z
Sc1 0.011 0.250 0.171
B1 0.145 0.581 0.467
Os1 0.178 0.250 0.679
```

Values from the calculation:
DFT formation energy = -15.7 kcal/mol of atoms
Relative energy among the computed polymorphs = 0.0000 eV per atom

***

Entry 4:
Sc2SiB2Os5: optimized geometry, PBE-GGA.

CIF file:
```
data_Sc2SiB2Os5
_chemical_formula_sum 'Sc4 Si2 B4 Os10'
_space_group_name_H-M_alt 'P 4/m b m'
_space_group_IT_number 127
_space_group_name_Hall '-P 4 2ab'
_cell_length_a 9.376
_cell_length_b 9.376
_cell_length_c 3.007
_cell_angle_alpha 90.00
_cell_angle_beta 90.00
_cell_angle_gamma 90.00
loop_
_atom_site_label
_atom_site_fract_x
_atom_site_fract_y
_atom_site_fract_z
Sc1 0.175 0.325 0.000
Si1 0.000 0.000 0.000
B1 0.125 0.625 0.000
Os1 0.000 0.500 0.500
Os2 0.069 0.790 0.500
```

Values from the calculation:
Formation energy from raw total energies = -4.973 eV/f.u.

***

Entry 5:
Sc2TlBOs: optimized geometry, PBE-GGA.

CIF file:
```
data_Sc2TlBOs
_chemical_formula_sum 'Sc2 Tl1 B1 Os1'
_space_group_name_H-M_alt 'P 4/m m m'
_space_group_IT_number 123
_space_group_name_Hall '-P 4 2'
_cell_length_a 4.706
_cell_length_b 4.706
_cell_length_c 4.047
_cell_angle_alpha 90.00
_cell_angle_beta 90.00
_cell_angle_gamma 90.00
loop_
_atom_site_label
_atom_site_fract_x
_atom_site_fract_y
_atom_site_fract_z
Sc1 0.000 0.500 0.000
Tl1 0.000 0.000 0.500
B1 0.500 0.500 0.000
Os1 0.500 0.500 0.500
```

Values from the calculation:
DFT formation energy = -7.8 kcal/mol of atoms
Relative energy among the computed polymorphs = 0.0000 eV per atom

***

Entry 6:
Sc2TlBOs: optimized geometry, PBE-GGA.

CIF file:
```
data_Sc2TlBOs
_chemical_formula_sum 'Sc2 Tl1 B1 Os1'
_space_group_name_H-M_alt 'P 4/m m m'
_space_group_IT_number 123
_space_group_name_Hall '-P 4 2'
_cell_length_a 4.617
_cell_length_b 4.617
_cell_length_c 4.276
_cell_angle_alpha 90.00
_cell_angle_beta 90.00
_cell_angle_gamma 90.00
loop_
_atom_site_label
_atom_site_fract_x
_atom_site_fract_y
_atom_site_fract_z
Sc1 0.000 0.500 0.000
Tl1 0.000 0.000 0.500
B1 0.000 0.000 0.000
Os1 0.500 0.500 0.500
```

Values from the calculation:
DFT formation energy = 10.6 kcal/mol of atoms
Relative energy among the computed polymorphs = 0.7949 eV per atom

***

Entry 7:
Sc2VB2Os5: optimized geometry, PBE-GGA.

CIF file:
```
data_Sc2VB2Os5
_chemical_formula_sum 'Sc4 V2 B4 Os10'
_space_group_name_H-M_alt 'P 4/m b m'
_space_group_IT_number 127
_space_group_name_Hall '-P 4 2ab'
_cell_length_a 9.435
_cell_length_b 9.435
_cell_length_c 3.021
_cell_angle_alpha 90.00
_cell_angle_beta 90.00
_cell_angle_gamma 90.00
loop_
_atom_site_label
_atom_site_fract_x
_atom_site_fract_y
_atom_site_fract_z
Sc1 0.175 0.325 0.000
V1 0.000 0.000 0.000
B1 0.124 0.624 0.000
Os1 0.000 0.500 0.500
Os2 0.069 0.788 0.500
```

Values from the calculation:
DFT formation energy = -10.7 kcal/mol of atoms

***

Entry 8:
Sc2B2Os5W: optimized geometry, PBE-GGA.

CIF file:
```
data_Sc2B2Os5W
_chemical_formula_sum 'Sc4 B4 Os10 W2'
_space_group_name_H-M_alt 'P 4/m b m'
_space_group_IT_number 127
_space_group_name_Hall '-P 4 2ab'
_cell_length_a 9.539
_cell_length_b 9.539
_cell_length_c 3.051
_cell_angle_alpha 90.00
_cell_angle_beta 90.00
_cell_angle_gamma 90.00
loop_
_atom_site_label
_atom_site_fract_x
_atom_site_fract_y
_atom_site_fract_z
Sc1 0.176 0.324 0.000
B1 0.121 0.621 0.000
Os1 0.000 0.500 0.500
Os2 0.069 0.783 0.500
W1 0.000 0.000 0.000
```

Values from the calculation:
DFT formation energy = -9.7 kcal/mol of atoms

***

Entry 9:
BOs3Se: optimized geometry, PBE-GGA.

CIF file:
```
data_BOs3Se
_chemical_formula_sum 'B1 Os3 Se1'
_space_group_name_H-M_alt 'P m -3 m'
_space_group_IT_number 221
_space_group_name_Hall '-P 4 2 3'
_cell_length_a 4.144
_cell_length_b 4.144
_cell_length_c 4.144
_cell_angle_alpha 90.00
_cell_angle_beta 90.00
_cell_angle_gamma 90.00
loop_
_atom_site_label
_atom_site_fract_x
_atom_site_fract_y
_atom_site_fract_z
B1 0.000 0.000 0.000
Os1 0.000 0.000 0.500
Se1 0.500 0.500 0.500
```

Values from the calculation:
Formation energy from raw total energies = 4.089 eV/f.u.
Relative energy among the computed polymorphs = 0.0000 eV per atom

***

Entry 10:
BOs3Se: optimized geometry, PBE-GGA.

CIF file:
```
data_BOs3Se
_chemical_formula_sum 'B1 Os3 Se1'
_space_group_name_H-M_alt 'P m -3 m'
_space_group_IT_number 221
_space_group_name_Hall '-P 4 2 3'
_cell_length_a 4.530
_cell_length_b 4.530
_cell_length_c 4.530
_cell_angle_alpha 90.00
_cell_angle_beta 90.00
_cell_angle_gamma 90.00
loop_
_atom_site_label
_atom_site_fract_x
_atom_site_fract_y
_atom_site_fract_z
B1 0.000 0.000 0.000
Os1 0.000 0.500 0.500
Se1 0.500 0.500 0.500
```

Values from the calculation:
Formation energy from raw total energies = 13.714 eV/f.u.
Relative energy among the computed polymorphs = 1.9251 eV per atom

***

Entry 11:
B2OsSe6: optimized geometry, PBE-GGA.

CIF file:
```
data_B2OsSe6
_chemical_formula_sum 'B8 Os4 Se24'
_space_group_name_H-M_alt 'C 1 2/c 1'
_space_group_IT_number 15
_cell_length_a 11.714
_cell_length_b 10.128
_cell_length_c 6.201
_cell_angle_alpha 90.00
_cell_angle_beta 102.43
_cell_angle_gamma 90.00
loop_
_space_group_symop_operation_xyz
'x,y,z'
'-x,-y,-z'
'-x,y,-z+1/2'
'x,-y,z+1/2'
'x+1/2,y+1/2,z'
'-x+1/2,-y+1/2,-z'
'-x+1/2,y+1/2,-z+1/2'
'x+1/2,-y+1/2,z+1/2'
loop_
_atom_site_label
_atom_site_fract_x
_atom_site_fract_y
_atom_site_fract_z
B1 0.214 0.073 0.338
Os1 0.000 0.378 0.250
Se1 0.107 0.414 0.636
Se2 0.145 0.075 0.619
Se3 0.152 0.248 0.161
```

Values from the calculation:
Formation energy from raw total energies = 0.146 eV/f.u.

***

Entry 12:
SiBOs2: optimized geometry, PBE-GGA.

CIF file:
```
data_SiBOs2
_chemical_formula_sum 'Si4 B4 Os8'
_space_group_name_H-M_alt 'F m -3 m'
_space_group_IT_number 225
_space_group_name_Hall '-F 4 2 3'
_cell_length_a 5.716
_cell_length_b 5.716
_cell_length_c 5.716
_cell_angle_alpha 90.00
_cell_angle_beta 90.00
_cell_angle_gamma 90.00
loop_
_atom_site_label
_atom_site_fract_x
_atom_site_fract_y
_atom_site_fract_z
Si1 0.000 0.000 0.000
B1 0.000 0.000 0.500
Os1 0.250 0.250 0.250
```

Values from the calculation:
Formation energy from raw total energies = 0.363 eV/f.u.
Relative energy among the computed polymorphs = 0.0000 eV per atom

***

Entry 13:
Si2B2Os: optimized geometry, PBE-GGA.

CIF file:
```
data_Si2B2Os
_chemical_formula_sum 'Si4 B4 Os2'
_space_group_name_H-M_alt 'P 4/m b m'
_space_group_IT_number 127
_space_group_name_Hall '-P 4 2ab'
_cell_length_a 6.142
_cell_length_b 6.142
_cell_length_c 2.951
_cell_angle_alpha 90.00
_cell_angle_beta 90.00
_cell_angle_gamma 90.00
loop_
_atom_site_label
_atom_site_fract_x
_atom_site_fract_y
_atom_site_fract_z
Si1 0.130 0.370 0.000
B1 0.192 0.692 0.500
Os1 0.000 0.000 0.000
```

Values from the calculation:
Formation energy from raw total energies = 4.442 eV/f.u.
Relative energy among the computed polymorphs = 0.4461 eV per atom

***

Entry 14:
SiBOs2: optimized geometry, PBE-GGA.

CIF file:
```
data_SiBOs2
_chemical_formula_sum 'Si4 B4 Os8'
_space_group_name_H-M_alt 'I -4 2 d'
_space_group_IT_number 122
_space_group_name_Hall 'I -4 2bw'
_cell_length_a 6.870
_cell_length_b 6.870
_cell_length_c 4.438
_cell_angle_alpha 90.00
_cell_angle_beta 90.00
_cell_angle_gamma 90.00
loop_
_atom_site_label
_atom_site_fract_x
_atom_site_fract_y
_atom_site_fract_z
Si1 0.000 0.000 0.000
B1 0.000 0.000 0.500
Os1 0.144 0.750 0.625
```

Values from the calculation:
Formation energy from raw total energies = 0.712 eV/f.u.
Relative energy among the computed polymorphs = 0.0872 eV per atom

***

Entry 15:
Si2BOs: optimized geometry, PBE-GGA.

CIF file:
```
data_Si2BOs
_chemical_formula_sum 'Si8 B4 Os4'
_space_group_name_H-M_alt 'I -4 2 d'
_space_group_IT_number 122
_space_group_name_Hall 'I -4 2bw'
_cell_length_a 5.236
_cell_length_b 5.236
_cell_length_c 9.258
_cell_angle_alpha 90.00
_cell_angle_beta 90.00
_cell_angle_gamma 90.00
loop_
_atom_site_label
_atom_site_fract_x
_atom_site_fract_y
_atom_site_fract_z
Si1 0.200 0.250 0.125
B1 0.000 0.000 0.000
Os1 0.000 0.000 0.500
```

Values from the calculation:
Formation energy from raw total energies = 2.330 eV/f.u.

***

Entry 16:
Si2B2Os: optimized geometry, PBE-GGA.

CIF file:
```
data_Si2B2Os
_chemical_formula_sum 'Si4 B4 Os2'
_space_group_name_H-M_alt 'I 4/m m m'
_space_group_IT_number 139
_space_group_name_Hall '-I 4 2'
_cell_length_a 2.819
_cell_length_b 2.819
_cell_length_c 13.266
_cell_angle_alpha 90.00
_cell_angle_beta 90.00
_cell_angle_gamma 90.00
loop_
_atom_site_label
_atom_site_fract_x
_atom_site_fract_y
_atom_site_fract_z
Si1 0.000 0.000 0.124
B1 0.000 0.500 0.250
Os1 0.000 0.000 0.500
```

Values from the calculation:
Formation energy from raw total energies = 2.211 eV/f.u.
Relative energy among the computed polymorphs = 0.0000 eV per atom

***

Entry 17:
SiB3Os: optimized geometry, PBE-GGA.

CIF file:
```
data_SiB3Os
_chemical_formula_sum 'Si1 B3 Os1'
_space_group_name_H-M_alt 'P m -3 m'
_space_group_IT_number 221
_space_group_name_Hall '-P 4 2 3'
_cell_length_a 4.113
_cell_length_b 4.113
_cell_length_c 4.113
_cell_angle_alpha 90.00
_cell_angle_beta 90.00
_cell_angle_gamma 90.00
loop_
_atom_site_label
_atom_site_fract_x
_atom_site_fract_y
_atom_site_fract_z
Si1 0.000 0.000 0.000
B1 0.000 0.500 0.500
Os1 0.500 0.500 0.500
```

Values from the calculation:
Formation energy from raw total energies = 6.299 eV/f.u.

***

Entry 18:
Si2BOs: optimized geometry, PBE-GGA.

CIF file:
```
data_Si2BOs
_chemical_formula_sum 'Si6 B3 Os3'
_space_group_name_H-M_alt 'R -3 m'
_space_group_IT_number 166
_space_group_name_Hall '-R 3 2"'
_cell_length_a 2.9233
_cell_length_b 2.9233
_cell_length_c 22.3285
_cell_angle_alpha 90.00
_cell_angle_beta 90.00
_cell_angle_gamma 120.00
loop_
_atom_site_label
_atom_site_fract_x
_atom_site_fract_y
_atom_site_fract_z
Si1 0.0000 0.0000 0.0864
B1 0.0000 0.0000 0.0000
Os1 0.0000 0.0000 0.5000
```

Values from the calculation:
Formation energy from raw total energies = 1.385 eV/f.u.

***

Entry 19:
SiBOs3: optimized geometry, PBE-GGA.

CIF file:
```
data_SiBOs3
_chemical_formula_sum 'Si1 B1 Os3'
_space_group_name_H-M_alt 'P m -3 m'
_space_group_IT_number 221
_space_group_name_Hall '-P 4 2 3'
_cell_length_a 4.055
_cell_length_b 4.055
_cell_length_c 4.055
_cell_angle_alpha 90.00
_cell_angle_beta 90.00
_cell_angle_gamma 90.00
loop_
_atom_site_label
_atom_site_fract_x
_atom_site_fract_y
_atom_site_fract_z
Si1 0.000 0.000 0.000
B1 0.500 0.500 0.500
Os1 0.000 0.500 0.500
```

Values from the calculation:
Formation energy from raw total energies = 2.162 eV/f.u.
Relative energy among the computed polymorphs = 0.0000 eV per atom

***

Entry 20:
Sm2Si2BOs2: optimized geometry, PBE-GGA.

CIF file:
```
data_Sm2Si2BOs2
_chemical_formula_sum 'Sm4 Si4 B2 Os4'
_space_group_name_H-M_alt 'C 1 2/m 1'
_space_group_IT_number 12
_cell_length_a 10.978
_cell_length_b 4.198
_cell_length_c 7.080
_cell_angle_alpha 90.00
_cell_angle_beta 128.79
_cell_angle_gamma 90.00
loop_
_space_group_symop_operation_xyz
'x,y,z'
'-x,-y,-z'
'-x,y,-z'
'x,-y,z'
'x+1/2,y+1/2,z'
'-x+1/2,-y+1/2,-z'
'-x+1/2,y+1/2,-z'
'x+1/2,-y+1/2,z'
loop_
_atom_site_label
_atom_site_fract_x
_atom_site_fract_y
_atom_site_fract_z
Sm1 0.066 0.000 0.330
Si1 0.157 0.500 0.102
B1 0.000 0.500 0.500
Os1 0.212 0.500 0.818
```

Values from the calculation:
Formation energy from raw total energies = -5.187 eV/f.u.